1.
Computed, not measured: crystalline Ca2Ac5PrSm at its relaxed geometry at the PBE-GGA level of DFT.

Results
formation energy = 0.31 eV per atom
symmetry = I4/mcm, No. 140
energy = -3.48 eV per atom
calculated volume = 42.6 Å³/atom

Lattice parameters (Å, degrees): 9.222 9.222 11.132 114.47 114.47 90.00
Sites, in units of the cell vectors:
Ac 0.930 0.430 0.294
Ac 0.136 0.070 0.706
Ac 0.864 0.930 0.294
Pr 0.250 0.250 0.500
Ca 0.117 0.383 0.000
Sm 0.750 0.250 0.500
Ca 0.617 0.117 0.000
Sm 0.250 0.750 0.500
Ca 0.383 0.883 0.000
Ca 0.883 0.617 0.000
Ac 0.570 0.636 0.706
Ac 0.430 0.364 0.294
Ac 0.070 0.570 0.706
Ac 0.500 0.500 0.000
Ac 0.364 0.864 0.294
Pr 0.750 0.750 0.500
Ac 0.000 0.000 0.000
Ac 0.636 0.136 0.706


2.
Computed, not measured: crystalline CaAcPrSn at its relaxed geometry at the PBE-GGA level of DFT.

Results
formation energy = -0.25 eV per atom
symmetry = F-43m, No. 216
energy = -3.97 eV per atom
calculated volume = 34.1 Å³/atom

Lattice parameters (Å, degrees): 5.776 5.776 5.776 60.00 60.00 60.00
Sites, in units of the cell vectors:
Ac 0.500 0.500 0.500
Pr 0.000 0.000 0.000
Sn 0.250 0.250 0.250
Ca 0.750 0.750 0.750


3.
Computed, not measured: crystalline Ca3Ac4PrTe8 at its relaxed geometry at the PBE-GGA level of DFT.

Results
formation energy (no corrections) = -1.52 eV per atom
symmetry = R-3m, No. 166
energy = -4.79 eV per atom
calculated volume = 35.0 Å³/atom

Lattice parameters (Å, degrees): 9.227 9.278 9.227 119.82 120.00 90.00
Sites, in units of the cell vectors:
Te 0.754 0.267 0.013
Ca 0.500 0.500 0.500
Te 0.246 0.733 0.492
Te 0.754 0.267 0.508
Ac 0.500 0.000 0.500
Te 0.256 0.269 0.512
Te 0.259 0.267 0.013
Te 0.744 0.731 0.488
Ac 0.000 0.000 0.500
Pr 0.000 0.500 0.000
Ca 0.000 0.500 0.500
Ac 0.500 0.000 0.000
Te 0.246 0.733 0.987
Ac 0.000 0.000 0.000
Te 0.741 0.733 0.987
Ca 0.500 0.500 0.000